Entry 1:
An optimized crystal structure of Pr4SmCo4, computed with PBE-GGA.

Output
crystal system = tetragonal
energy of formation from the pure elements = 0.0549 eV/atom

CIF file:
```
data_Pr4SmCo4
_space_group_name_H-M_alt 'P 42/n'
_space_group_IT_number 86
_cell_length_a 8.6167
_cell_length_b 8.6167
_cell_length_c 5.8569
_cell_angle_alpha 90.00
_cell_angle_beta 90.00
_cell_angle_gamma 90.00
loop_
_space_group_symop_operation_xyz
'x,y,z'
'-x,-y,-z'
'-y,x+1/2,z+1/2'
'y,-x+1/2,-z+1/2'
'-x+1/2,-y+1/2,z'
'x+1/2,y+1/2,-z'
'y+1/2,-x,z+1/2'
'-y+1/2,x,-z+1/2'
loop_
_atom_site_label
_atom_site_type_symbol
_atom_site_fract_x
_atom_site_fract_y
_atom_site_fract_z
Pr1 Pr 0.0553 0.6771 0.1299
Sm1 Sm 0.2500 0.2500 0.2500
Co1 Co 0.0117 0.6123 0.6043
```

Entry 2:
An optimized crystal structure of LiTi3Pb, computed with PBE-GGA.

Output
excess energy over the best structure of this formula in the dataset = 3.12 eV per formula unit
crystal system = cubic
energy of formation from the pure elements = 1.2152 eV/atom

CIF file:
```
data_LiTi3Pb
_space_group_name_H-M_alt 'P m -3 m'
_space_group_IT_number 221
_space_group_name_Hall '-P 4 2 3'
_cell_length_a 5.3036
_cell_length_b 5.3036
_cell_length_c 5.3036
_cell_angle_alpha 90.00
_cell_angle_beta 90.00
_cell_angle_gamma 90.00
loop_
_atom_site_label
_atom_site_type_symbol
_atom_site_fract_x
_atom_site_fract_y
_atom_site_fract_z
Li1 Li 0.0000 0.0000 0.0000
Ti1 Ti 0.0000 0.5000 0.5000
Pb1 Pb 0.5000 0.5000 0.5000
```

Entry 3:
An optimized crystal structure of SmHo3Tl3, computed with PBE-GGA.

Output
excess energy over the best structure of this formula in the dataset = 0.00 eV per formula unit
crystal system = cubic
energy of formation from the pure elements = -0.2460 eV/atom

CIF file:
```
data_SmHo3Tl3
_space_group_name_H-M_alt 'P 21 3'
_space_group_IT_number 198
_space_group_name_Hall 'P 2ac 2ab 3'
_cell_length_a 9.3529
_cell_length_b 9.3529
_cell_length_c 9.3529
_cell_angle_alpha 90.00
_cell_angle_beta 90.00
_cell_angle_gamma 90.00
loop_
_atom_site_label
_atom_site_type_symbol
_atom_site_fract_x
_atom_site_fract_y
_atom_site_fract_z
Sm1 Sm 0.0708 0.4292 0.5708
Ho1 Ho 0.0795 0.5795 0.9205
Ho2 Ho 0.1776 0.1776 0.1776
Ho3 Ho 0.1789 0.8211 0.3211
Tl1 Tl 0.0004 0.2569 0.8814
```

Entry 4:
An optimized crystal structure of KCdGa2Si, computed with PBE-GGA.

Output
excess energy over the best structure of this formula in the dataset = 0.00 eV per formula unit
crystal system = tetragonal
ΔE_f (raw) = 0.734 eV/atom

CIF file:
```
data_KCdGa2Si
_space_group_name_H-M_alt 'P 4/m m m'
_space_group_IT_number 123
_space_group_name_Hall '-P 4 2'
_cell_length_a 5.1676
_cell_length_b 5.1676
_cell_length_c 6.0035
_cell_angle_alpha 90.00
_cell_angle_beta 90.00
_cell_angle_gamma 90.00
loop_
_atom_site_label
_atom_site_type_symbol
_atom_site_fract_x
_atom_site_fract_y
_atom_site_fract_z
K1 K 0.0000 0.0000 0.0000
Cd1 Cd 0.0000 0.0000 0.5000
Ga1 Ga 0.0000 0.5000 0.5000
Si1 Si 0.5000 0.5000 0.0000
```

Entry 5:
An optimized crystal structure of Rb3PmU2Te6, computed with PBE-GGA.

Output
crystal system = monoclinic
ΔE_f (raw) = -1.019 eV/atom

CIF file:
```
data_Rb3PmU2Te6
_space_group_name_H-M_alt 'C 1 2/m 1'
_space_group_IT_number 12
_cell_length_a 7.9098
_cell_length_b 13.7005
_cell_length_c 8.9988
_cell_angle_alpha 90.00
_cell_angle_beta 107.04
_cell_angle_gamma 90.00
loop_
_space_group_symop_operation_xyz
'x,y,z'
'-x,-y,-z'
'-x,y,-z'
'x,-y,z'
'x+1/2,y+1/2,z'
'-x+1/2,-y+1/2,-z'
'-x+1/2,y+1/2,-z'
'x+1/2,-y+1/2,z'
loop_
_atom_site_label
_atom_site_type_symbol
_atom_site_fract_x
_atom_site_fract_y
_atom_site_fract_z
Rb1 Rb 0.0000 0.0000 0.0000
Rb2 Rb 0.0000 0.3347 0.0000
Pm1 Pm 0.0000 0.5000 0.5000
U1 U 0.0000 0.1669 0.5000
Te1 Te 0.2303 0.0000 0.7026
Te2 Te 0.2364 0.3315 0.7033
```

Entry 6:
An optimized crystal structure of AcPr2NdDy4, computed with PBE-GGA.

Output
crystal system = monoclinic
energy of formation from the pure elements = 0.4080 eV/atom

CIF file:
```
data_AcPr2NdDy4
_space_group_name_H-M_alt 'C 1 2/c 1'
_space_group_IT_number 15
_cell_length_a 13.9271
_cell_length_b 13.5150
_cell_length_c 6.9577
_cell_angle_alpha 90.00
_cell_angle_beta 119.96
_cell_angle_gamma 90.00
loop_
_space_group_symop_operation_xyz
'x,y,z'
'-x,-y,-z'
'-x,y,-z+1/2'
'x,-y,z+1/2'
'x+1/2,y+1/2,z'
'-x+1/2,-y+1/2,-z'
'-x+1/2,y+1/2,-z+1/2'
'x+1/2,-y+1/2,z+1/2'
loop_
_atom_site_label
_atom_site_type_symbol
_atom_site_fract_x
_atom_site_fract_y
_atom_site_fract_z
Ac1 Ac 0.2500 0.2500 0.0000
Pr1 Pr 0.0000 0.0000 0.0000
Pr2 Pr 0.2500 0.2500 0.5000
Nd1 Nd 0.0000 0.5000 0.0000
Dy1 Dy 0.9999 0.2511 0.0125
Dy2 Dy 0.2487 0.4922 0.4977
```

Calculated values (eV/atom) of E for the records, taken in order: -5.75; -4.65; -3.90; -1.96; -5.11; -4.20.